Entry 1:
Entry from the Alexandria database: a relaxed La16Tb7Pr6 crystal (GGA-PBE).

Summary:
Total energy   -134.79 eV per cell

The structure in POSCAR format:
```
La16Tb7Pr6
1.0
9.8960 0.0000 5.7134
3.2987 9.3300 5.7134
0.0000 0.0000 11.4269
Tb Pr La
7 6 16
Direct
0.0000 0.5000 0.0000
0.5000 0.0000 0.0000
0.0000 0.5000 0.5000
0.5000 0.0000 0.5000
0.0000 0.0000 0.5000
0.0000 0.0000 0.0000
0.5000 0.5000 0.0000
0.2976 0.7024 0.7024
0.7024 0.7024 0.2976
0.2976 0.7024 0.2976
0.7024 0.2976 0.7024
0.7024 0.2976 0.2976
0.2976 0.2976 0.7024
0.8789 0.8789 0.3633
0.9659 0.3447 0.3447
0.6367 0.1211 0.1211
0.8789 0.3633 0.8789
0.1211 0.1211 0.6367
0.0341 0.6553 0.6553
0.1211 0.1211 0.1211
0.1211 0.6367 0.1211
0.3447 0.3447 0.3447
0.3447 0.9659 0.3447
0.6553 0.6553 0.0341
0.8789 0.8789 0.8789
0.6553 0.0341 0.6553
0.3633 0.8789 0.8789
0.6553 0.6553 0.6553
0.3447 0.3447 0.9659
```

Entry 2:
Entry from the Alexandria database: a relaxed NpPtAu crystal (GGA-PBE).

Summary:
Excess energy over the best structure of this formula in the dataset   0.00 eV/f.u.

The structure in POSCAR format:
```
NpPtAu
1.0
-0.4081 -2.3470 -1.6802
3.9897 1.1045 -2.5118
0.3078 -2.8482 3.9038
Np Pt Au
1 1 1
Direct
0.9999 0.0000 0.0000
0.5004 0.3333 0.6667
0.4996 0.6667 0.3333
```

Entry 3:
Entry from the Alexandria database: a relaxed La2TbPm2Dy crystal (GGA-PBE).

Summary:
Total energy   -56.52 eV per cell

The structure in POSCAR format:
```
La2TbPm2Dy
1.0
-3.1676 4.3018 -2.1607
-5.3935 -1.8130 4.2974
3.5415 6.1416 7.0358
Tb La Pm Dy
2 4 4 2
Direct
0.0000 0.0075 0.4998
0.0000 0.5075 0.5002
0.0000 0.2578 0.1750
0.5000 0.0076 0.0004
0.0000 0.7578 0.8250
0.5000 0.5076 0.9996
0.0000 0.7574 0.1653
0.5000 0.2578 0.3326
0.5000 0.7578 0.6674
0.0000 0.2574 0.8347
0.5000 0.2575 0.6591
0.5000 0.7575 0.3409
```

Entry 4:
Entry from the Alexandria database: a relaxed SrFeOs3 crystal (GGA-PBE).

Summary:
Excess energy over the best structure of this formula in the dataset   0.00 eV/f.u.

The structure in POSCAR format:
```
SrFeOs3
1.0
4.5612 0.0000 0.0000
0.0000 4.5612 0.0000
0.0000 0.0000 4.5612
Os Fe Sr
3 1 1
Direct
0.0000 0.0000 0.5000
0.5000 0.0000 0.0000
0.0000 0.5000 0.0000
0.0000 0.0000 0.0000
0.5000 0.5000 0.5000
```

Entry 5:
Entry from the Alexandria database: a relaxed Rb2CeAgO4 crystal (GGA-PBE).

Summary:
Formation energy from raw total energies   -1673 meV/atom

The structure in POSCAR format:
```
Rb2CeAgO4
1.0
6.0194 0.0792 0.1214
-2.4931 5.4794 -0.1214
-2.4931 -2.3162 4.9672
Ce O Rb Ag
1 4 2 1
Direct
0.5000 0.2500 0.7500
0.5706 0.3077 0.4417
0.8659 0.5583 0.1289
0.1341 0.2630 0.6923
0.4294 0.8711 0.7370
0.5000 0.7500 0.2500
0.0000 0.0000 0.0000
0.0000 0.5000 0.5000
```

Entry 6:
Entry from the Alexandria database: a relaxed BaPuSe2 crystal (GGA-PBE).

Summary:
Formation energy from raw total energies   -1650 meV/atom
Excess energy over the best structure of this formula in the dataset   0.27 eV/f.u.

The structure in POSCAR format:
```
BaPuSe2
1.0
-1.6986 -3.5441 1.7824
2.5408 -3.3413 1.0017
1.4231 0.6638 7.9003
Se Pu Ba
2 1 1
Direct
0.2615 0.2615 0.2154
0.0724 0.0724 0.7827
0.6688 0.6688 0.9936
0.4972 0.4972 0.5083
```

Entry 7:
Entry from the Alexandria database: a relaxed Pr3N2 crystal (GGA-PBE).

Summary:
Formation energy from raw total energies   -1019 meV/atom

The structure in POSCAR format:
```
Pr3N2
1.0
-2.1994 -4.7836 3.6821
-2.6530 1.0868 -5.7497
5.6759 -2.5724 -1.8740
Pr N
6 4
Direct
0.9359 0.9359 0.7598
0.0773 0.7615 0.2305
0.5701 0.2543 0.7730
0.7615 0.0773 0.2305
0.3957 0.3957 0.2438
0.2543 0.5701 0.7730
0.6658 0.6658 0.0017
0.1658 0.1658 0.5018
0.0050 0.3265 0.0018
0.3265 0.0050 0.0018
```

Entry 8:
Entry from the Alexandria database: a relaxed NaZnOs2Pd crystal (GGA-PBE).

Summary:
Total energy   -21.59 eV per cell

The structure in POSCAR format:
```
NaZnOs2Pd
1.0
-0.0647 4.0135 -2.1600
-3.7108 -1.2967 -2.2982
-2.6408 1.7277 3.2892
Os Na Zn Pd
2 1 1 1
Direct
0.5000 0.0000 0.0000
0.0000 0.0000 0.5000
0.0000 0.5000 0.0000
0.0000 0.0000 0.0000
0.5000 0.5000 0.5000
```